## TaSnSb2 (PBE)

Data for crystalline TaSnSb2 at its relaxed geometry.

Cell: 3.4230 3.4230 10.6298 Å, 80.73 80.73 60.00°
Fractional positions:
Sb 0.1019 0.1019 0.6942
Sb 0.8981 0.8981 0.3058
Sn 0.0000 0.0000 0.0000
Ta 0.5000 0.5000 0.5000

ΔE_f (raw), eV per atom: 0.0567
Fermi-level density of states, states/eV/atom: 0.2833
V, Å³ per cell: 106